Entry 1:
{
  "formula": "Tl3Cu2NiCl9",
  "functional": "GGA-PBE",
  "state": "relaxed",
  "m_tot_mub_per_fu": 0.16,
  "e_tot_ha_per_atom": -0.1181,
  "raw_formation_energy_ev_per_atom": -0.70,
  "sg": "P-3m1, No. 164",
  "lattice": [[6.869, 0.000, 0.000], [-3.435, 5.949, 0.000], [0.000, 0.000, 8.390]],
  "species": ["Tl", "Tl", "Tl", "Cu", "Cu", "Ni", "Cl", "Cl", "Cl", "Cl", "Cl", "Cl", "Cl", "Cl", "Cl"],
  "fractional_positions": [[0.000, 0.000, 0.000], [0.333, 0.667, 0.672], [0.667, 0.333, 0.328], [0.333, 0.667, 0.167], [0.667, 0.333, 0.833], [0.000, 0.000, 0.500], [0.000, 0.500, 0.000], [0.163, 0.325, 0.338], [0.163, 0.837, 0.338], [0.325, 0.163, 0.662], [0.500, 0.000, 0.000], [0.500, 0.500, 0.000], [0.675, 0.837, 0.338], [0.837, 0.163, 0.662], [0.837, 0.675, 0.662]]
}



Entry 2:
{
  "formula": "Tl2Cu2NiCl6",
  "functional": "GGA-PBE",
  "state": "relaxed",
  "m_tot_mub_per_fu": 0.00,
  "e_tot_ha_per_atom": -0.1242,
  "raw_formation_energy_ev_per_atom": -0.67,
  "sg": "C2/m, No. 12",
  "lattice": [[6.917, -3.370, 0.000], [6.917, 3.370, 0.000], [-0.720, 0.000, 5.764]],
  "species": ["Tl", "Tl", "Cu", "Cu", "Ni", "Cl", "Cl", "Cl", "Cl", "Cl", "Cl"],
  "fractional_positions": [[0.193, 0.193, 0.232], [0.807, 0.807, 0.768], [0.474, 0.474, 0.758], [0.526, 0.526, 0.242], [0.000, 0.000, 0.500], [0.160, 0.702, 0.261], [0.298, 0.840, 0.739], [0.314, 0.314, 0.754], [0.686, 0.686, 0.246], [0.702, 0.160, 0.261], [0.840, 0.298, 0.739]]
}



Entry 3:
{
  "formula": "NpCuCl5",
  "functional": "GGA-PBE",
  "state": "relaxed",
  "m_tot_mub_per_fu": 3.00,
  "e_tot_ha_per_atom": -0.1854,
  "raw_formation_energy_ev_per_atom": -1.29,
  "sg": "C2/c, No. 15",
  "lattice": [[5.140, -4.834, 0.000], [5.140, 4.834, 0.000], [-4.820, 0.000, 8.782]],
  "species": ["Np", "Np", "Cu", "Cu", "Cl", "Cl", "Cl", "Cl", "Cl", "Cl", "Cl", "Cl", "Cl", "Cl"],
  "fractional_positions": [[0.000, 0.500, 0.000], [0.500, 0.000, 0.500], [0.137, 0.863, 0.750], [0.863, 0.137, 0.250], [0.158, 0.173, 0.453], [0.167, 0.594, 0.835], [0.173, 0.158, 0.953], [0.333, 0.667, 0.250], [0.406, 0.833, 0.665], [0.594, 0.167, 0.335], [0.667, 0.333, 0.750], [0.827, 0.842, 0.047], [0.833, 0.406, 0.165], [0.842, 0.827, 0.547]]
}



Entry 4:
{
  "formula": "NpCu2Cl6",
  "functional": "GGA-PBE",
  "state": "relaxed",
  "m_tot_mub_per_fu": 3.00,
  "e_tot_ha_per_atom": -0.1731,
  "raw_formation_energy_ev_per_atom": -1.13,
  "sg": "P2_1/c, No. 14",
  "lattice": [[6.405, 0.000, 0.000], [0.000, 6.914, 0.000], [-5.984, 0.000, 12.070]],
  "species": ["Np", "Np", "Cu", "Cu", "Cu", "Cu", "Cl", "Cl", "Cl", "Cl", "Cl", "Cl", "Cl", "Cl", "Cl", "Cl", "Cl", "Cl"],
  "fractional_positions": [[0.000, 0.000, 0.000], [0.000, 0.500, 0.500], [0.462, 0.096, 0.900], [0.462, 0.404, 0.400], [0.538, 0.596, 0.600], [0.538, 0.904, 0.100], [0.086, 0.157, 0.841], [0.086, 0.343, 0.341], [0.251, 0.696, 0.002], [0.251, 0.804, 0.502], [0.389, 0.158, 0.150], [0.389, 0.342, 0.650], [0.611, 0.658, 0.350], [0.611, 0.842, 0.850], [0.749, 0.196, 0.498], [0.749, 0.304, 0.998], [0.914, 0.657, 0.659], [0.914, 0.843, 0.159]]
}



Entry 5:
{
  "formula": "NpCu5Cl12",
  "functional": "GGA-PBE",
  "state": "relaxed",
  "m_tot_mub_per_fu": 5.71,
  "e_tot_ha_per_atom": -0.1413,
  "raw_formation_energy_ev_per_atom": -0.76,
  "sg": "C2/m, No. 12",
  "lattice": [[3.269, -5.228, 0.000], [3.269, 5.228, 0.000], [-2.671, 0.000, 12.836]],
  "species": ["Np", "Cu", "Cu", "Cu", "Cu", "Cu", "Cl", "Cl", "Cl", "Cl", "Cl", "Cl", "Cl", "Cl", "Cl", "Cl", "Cl", "Cl"],
  "fractional_positions": [[0.000, 0.000, 0.000], [0.000, 0.000, 0.500], [0.333, 0.667, 0.500], [0.373, 0.627, 0.000], [0.627, 0.373, 0.000], [0.667, 0.333, 0.500], [0.099, 0.428, 0.110], [0.100, 0.767, 0.607], [0.233, 0.900, 0.393], [0.250, 0.250, 0.866], [0.428, 0.099, 0.110], [0.434, 0.434, 0.607], [0.566, 0.566, 0.393], [0.572, 0.901, 0.890], [0.750, 0.750, 0.134], [0.767, 0.100, 0.607], [0.900, 0.233, 0.393], [0.901, 0.572, 0.890]]
}



Entry 6:
{
  "formula": "NpCu2Cl6",
  "functional": "GGA-PBE",
  "state": "relaxed",
  "m_tot_mub_per_fu": 2.94,
  "e_tot_ha_per_atom": -0.1709,
  "raw_formation_energy_ev_per_atom": -1.07,
  "sg": "C2/c, No. 15",
  "lattice": [[6.793, -5.710, 0.000], [6.793, 5.710, 0.000], [-0.946, 0.000, 6.771]],
  "species": ["Np", "Np", "Cu", "Cu", "Cu", "Cu", "Cl", "Cl", "Cl", "Cl", "Cl", "Cl", "Cl", "Cl", "Cl", "Cl", "Cl", "Cl"],
  "fractional_positions": [[0.104, 0.896, 0.750], [0.896, 0.104, 0.250], [0.327, 0.457, 0.725], [0.457, 0.327, 0.225], [0.543, 0.673, 0.775], [0.673, 0.543, 0.275], [0.040, 0.177, 0.606], [0.133, 0.623, 0.870], [0.177, 0.040, 0.106], [0.286, 0.471, 0.401], [0.377, 0.867, 0.630], [0.471, 0.286, 0.901], [0.529, 0.714, 0.099], [0.623, 0.133, 0.370], [0.714, 0.529, 0.599], [0.823, 0.960, 0.894], [0.867, 0.377, 0.130], [0.960, 0.823, 0.394]]
}



Entry 7:
{
  "formula": "Rb3NpCu2Cl9",
  "functional": "GGA-PBE",
  "state": "relaxed",
  "m_tot_mub_per_fu": 3.19,
  "e_tot_ha_per_atom": -0.1528,
  "raw_formation_energy_ev_per_atom": -1.45,
  "sg": "P-3m1, No. 164",
  "lattice": [[7.607, 0.000, 0.000], [-3.803, 6.588, 0.000], [0.000, 0.000, 9.361]],
  "species": ["Rb", "Rb", "Rb", "Np", "Cu", "Cu", "Cl", "Cl", "Cl", "Cl", "Cl", "Cl", "Cl", "Cl", "Cl"],
  "fractional_positions": [[0.000, 0.000, 0.000], [0.333, 0.667, 0.642], [0.667, 0.333, 0.358], [0.000, 0.000, 0.500], [0.333, 0.667, 0.038], [0.667, 0.333, 0.962], [0.000, 0.500, 0.000], [0.163, 0.327, 0.339], [0.163, 0.837, 0.339], [0.327, 0.163, 0.661], [0.500, 0.000, 0.000], [0.500, 0.500, 0.000], [0.673, 0.837, 0.339], [0.837, 0.163, 0.661], [0.837, 0.673, 0.661]]
}



Entry 8:
{
  "formula": "RbNpCuCl6",
  "functional": "GGA-PBE",
  "state": "relaxed",
  "m_tot_mub_per_fu": 2.99,
  "e_tot_ha_per_atom": -0.1713,
  "raw_formation_energy_ev_per_atom": -1.43,
  "sg": "Imma, No. 74",
  "lattice": [[-3.755, 5.176, 9.189], [3.755, -5.176, 9.189], [3.755, 5.176, -9.189]],
  "species": ["Rb", "Rb", "Np", "Np", "Cu", "Cu", "Cl", "Cl", "Cl", "Cl", "Cl", "Cl", "Cl", "Cl", "Cl", "Cl", "Cl", "Cl"],
  "fractional_positions": [[0.261, 0.011, 0.250], [0.739, 0.989, 0.750], [0.000, 0.500, 0.500], [0.500, 0.500, 0.000], [0.500, 0.000, 0.000], [0.500, 0.500, 0.500], [0.046, 0.348, 0.208], [0.046, 0.838, 0.698], [0.299, 0.549, 0.750], [0.360, 0.162, 0.708], [0.360, 0.652, 0.198], [0.445, 0.195, 0.250], [0.555, 0.805, 0.750], [0.640, 0.348, 0.802], [0.640, 0.838, 0.292], [0.701, 0.451, 0.250], [0.954, 0.162, 0.302], [0.954, 0.652, 0.792]]
}



Entry 9:
{
  "formula": "Np2CuS4Cl",
  "functional": "GGA-PBE",
  "state": "relaxed",
  "m_tot_mub_per_fu": 6.00,
  "e_tot_ha_per_atom": -0.2594,
  "raw_formation_energy_ev_per_atom": -1.02,
  "sg": "C2/m, No. 12",
  "lattice": [[6.304, -1.899, 0.000], [6.304, 1.899, 0.000], [-5.615, 0.000, 8.081]],
  "species": ["Np", "Np", "Cu", "S", "S", "S", "S", "Cl"],
  "fractional_positions": [[0.196, 0.196, 0.283], [0.804, 0.804, 0.717], [0.000, 0.000, 0.500], [0.178, 0.178, 0.757], [0.387, 0.387, 0.602], [0.613, 0.613, 0.398], [0.822, 0.822, 0.243], [0.500, 0.500, 0.000]]
}



Entry 10:
{
  "formula": "SrNpCu2Cl8",
  "functional": "GGA-PBE",
  "state": "relaxed",
  "m_tot_mub_per_fu": 2.98,
  "e_tot_ha_per_atom": -0.1640,
  "raw_formation_energy_ev_per_atom": -1.33,
  "sg": "P-3, No. 147",
  "lattice": [[6.254, 0.000, 0.000], [-3.127, 5.416, 0.000], [0.000, 0.000, 9.260]],
  "species": ["Sr", "Np", "Cu", "Cu", "Cl", "Cl", "Cl", "Cl", "Cl", "Cl", "Cl", "Cl"],
  "fractional_positions": [[0.000, 0.000, 0.000], [0.000, 0.000, 0.500], [0.333, 0.667, 0.764], [0.667, 0.333, 0.236], [0.013, 0.686, 0.315], [0.314, 0.327, 0.315], [0.327, 0.013, 0.685], [0.333, 0.667, 0.005], [0.667, 0.333, 0.995], [0.673, 0.987, 0.315], [0.686, 0.673, 0.685], [0.987, 0.314, 0.685]]
}



Entry 11:
{
  "formula": "NpTlCuCl6",
  "functional": "GGA-PBE",
  "state": "relaxed",
  "m_tot_mub_per_fu": 2.98,
  "e_tot_ha_per_atom": -0.1697,
  "raw_formation_energy_ev_per_atom": -1.23,
  "sg": "P-31c, No. 163",
  "lattice": [[6.653, 0.000, 0.000], [-3.326, 5.761, 0.000], [0.000, 0.000, 14.587]],
  "species": ["Np", "Np", "Tl", "Tl", "Cu", "Cu", "Cl", "Cl", "Cl", "Cl", "Cl", "Cl", "Cl", "Cl", "Cl", "Cl", "Cl", "Cl"],
  "fractional_positions": [[0.333, 0.667, 0.250], [0.667, 0.333, 0.750], [0.000, 0.000, 0.000], [0.000, 0.000, 0.500], [0.333, 0.667, 0.750], [0.667, 0.333, 0.250], [0.010, 0.370, 0.647], [0.010, 0.641, 0.853], [0.359, 0.370, 0.853], [0.359, 0.990, 0.647], [0.370, 0.010, 0.147], [0.370, 0.359, 0.353], [0.630, 0.641, 0.647], [0.630, 0.990, 0.853], [0.641, 0.010, 0.353], [0.641, 0.630, 0.147], [0.990, 0.359, 0.147], [0.990, 0.630, 0.353]]
}



Entry 12:
{
  "formula": "NpTl3Cu2Cl9",
  "functional": "GGA-PBE",
  "state": "relaxed",
  "m_tot_mub_per_fu": 2.95,
  "e_tot_ha_per_atom": -0.1482,
  "raw_formation_energy_ev_per_atom": -1.04,
  "sg": "P-3m1, No. 164",
  "lattice": [[7.225, 0.000, 0.000], [-3.613, 6.257, 0.000], [0.000, 0.000, 9.035]],
  "species": ["Np", "Tl", "Tl", "Tl", "Cu", "Cu", "Cl", "Cl", "Cl", "Cl", "Cl", "Cl", "Cl", "Cl", "Cl"],
  "fractional_positions": [[0.000, 0.000, 0.000], [0.000, 0.000, 0.500], [0.333, 0.667, 0.234], [0.667, 0.333, 0.766], [0.333, 0.667, 0.643], [0.667, 0.333, 0.357], [0.000, 0.500, 0.500], [0.169, 0.339, 0.825], [0.169, 0.831, 0.825], [0.339, 0.169, 0.175], [0.500, 0.000, 0.500], [0.500, 0.500, 0.500], [0.661, 0.831, 0.825], [0.831, 0.169, 0.175], [0.831, 0.661, 0.175]]
}



Entry 13:
{
  "formula": "NpTlCu2Cl8",
  "functional": "GGA-PBE",
  "state": "relaxed",
  "m_tot_mub_per_fu": 1.91,
  "e_tot_ha_per_atom": -0.1541,
  "raw_formation_energy_ev_per_atom": -1.00,
  "sg": "P-3m1, No. 164",
  "lattice": [[7.102, 0.000, 0.000], [-3.551, 6.151, 0.000], [0.000, 0.000, 8.818]],
  "species": ["Np", "Tl", "Cu", "Cu", "Cl", "Cl", "Cl", "Cl", "Cl", "Cl", "Cl", "Cl"],
  "fractional_positions": [[0.000, 0.000, 0.000], [0.000, 0.000, 0.500], [0.333, 0.667, 0.694], [0.667, 0.333, 0.306], [0.166, 0.333, 0.823], [0.166, 0.834, 0.823], [0.333, 0.166, 0.177], [0.333, 0.667, 0.451], [0.667, 0.333, 0.549], [0.667, 0.834, 0.823], [0.834, 0.166, 0.177], [0.834, 0.667, 0.177]]
}



Entry 14:
{
  "formula": "NpTl2CuCl8",
  "functional": "GGA-PBE",
  "state": "relaxed",
  "m_tot_mub_per_fu": 1.91,
  "e_tot_ha_per_atom": -0.1543,
  "raw_formation_energy_ev_per_atom": -1.15,
  "sg": "P-1, No. 2",
  "lattice": [[6.508, 0.000, 0.000], [-1.051, 6.503, 0.000], [-0.018, -0.012, 10.031]],
  "species": ["Np", "Tl", "Tl", "Cu", "Cl", "Cl", "Cl", "Cl", "Cl", "Cl", "Cl", "Cl"],
  "fractional_positions": [[0.000, 0.000, 0.000], [0.498, 0.499, 0.268], [0.502, 0.501, 0.732], [0.000, 0.000, 0.500], [0.124, 0.781, 0.818], [0.127, 0.785, 0.183], [0.275, 0.220, 0.501], [0.353, 0.235, 0.999], [0.647, 0.765, 0.001], [0.725, 0.780, 0.499], [0.873, 0.215, 0.817], [0.876, 0.219, 0.182]]
}



Entry 15:
{
  "formula": "Cu3Cl3O",
  "functional": "GGA-PBE",
  "state": "relaxed",
  "m_tot_mub_per_fu": 1.44,
  "e_tot_ha_per_atom": -0.1364,
  "raw_formation_energy_ev_per_atom": -0.46,
  "sg": "R3m, No. 160",
  "lattice": [[5.962, 3.442, 1.201], [-5.962, 3.442, 1.201], [0.000, -6.885, 1.201]],
  "species": ["Cu", "Cu", "Cu", "Cl", "Cl", "Cl", "O"],
  "fractional_positions": [[0.089, 0.089, 0.822], [0.089, 0.822, 0.089], [0.822, 0.089, 0.089], [0.198, 0.655, 0.655], [0.655, 0.198, 0.655], [0.655, 0.655, 0.198], [0.016, 0.016, 0.016]]
}



Entry 16:
{
  "formula": "CuCl3O",
  "functional": "GGA-PBE",
  "state": "relaxed",
  "m_tot_mub_per_fu": 0.00,
  "e_tot_ha_per_atom": -0.0814,
  "raw_formation_energy_ev_per_atom": 0.70,
  "sg": "Pm-3m, No. 221",
  "lattice": [[4.623, 0.000, 0.000], [0.000, 4.623, 0.000], [0.000, 0.000, 4.623]],
  "species": ["Cu", "Cl", "Cl", "Cl", "O"],
  "fractional_positions": [[0.000, 0.000, 0.000], [0.000, 0.000, 0.500], [0.000, 0.500, 0.000], [0.500, 0.000, 0.000], [0.500, 0.500, 0.500]]
}



Entry 17:
{
  "formula": "Cu2ClO3",
  "functional": "GGA-PBE",
  "state": "relaxed",
  "m_tot_mub_per_fu": 0.61,
  "e_tot_ha_per_atom": -0.1600,
  "raw_formation_energy_ev_per_atom": -0.20,
  "sg": "R-3m, No. 166",
  "lattice": [[3.143, 1.814, 4.525], [-3.143, 1.814, 4.525], [0.000, -3.629, 4.525]],
  "species": ["Cu", "Cu", "Cu", "Cu", "Cl", "Cl", "O", "O", "O", "O", "O", "O"],
  "fractional_positions": [[0.000, 0.000, 0.000], [0.000, 0.000, 0.500], [0.000, 0.500, 0.000], [0.500, 0.000, 0.000], [0.305, 0.305, 0.305], [0.695, 0.695, 0.695], [0.166, 0.767, 0.767], [0.233, 0.233, 0.834], [0.233, 0.834, 0.233], [0.767, 0.166, 0.767], [0.767, 0.767, 0.166], [0.834, 0.233, 0.233]]
}



Entry 18:
{
  "formula": "CuClO",
  "functional": "GGA-PBE",
  "state": "relaxed",
  "m_tot_mub_per_fu": 0.00,
  "e_tot_ha_per_atom": -0.1463,
  "raw_formation_energy_ev_per_atom": -0.35,
  "sg": "P-1, No. 2",
  "lattice": [[3.556, 0.000, 0.000], [-1.734, 5.518, 0.000], [-1.732, -2.009, 5.601]],
  "species": ["Cu", "Cu", "Cl", "Cl", "O", "O"],
  "fractional_positions": [[0.223, 0.354, 0.092], [0.777, 0.646, 0.908], [0.221, 0.122, 0.319], [0.779, 0.878, 0.681], [0.212, 0.543, 0.879], [0.788, 0.457, 0.121]]
}



Entry 19:
{
  "formula": "Cu2ClO3",
  "functional": "GGA-PBE",
  "state": "relaxed",
  "m_tot_mub_per_fu": 0.00,
  "e_tot_ha_per_atom": -0.1601,
  "raw_formation_energy_ev_per_atom": -0.20,
  "sg": "Pnma, No. 62",
  "lattice": [[5.917, 0.000, 0.000], [0.000, 6.317, 0.000], [0.000, 0.000, 8.274]],
  "species": ["Cu", "Cu", "Cu", "Cu", "Cu", "Cu", "Cu", "Cu", "Cl", "Cl", "Cl", "Cl", "O", "O", "O", "O", "O", "O", "O", "O", "O", "O", "O", "O"],
  "fractional_positions": [[0.000, 0.000, 0.000], [0.000, 0.500, 0.000], [0.187, 0.250, 0.262], [0.313, 0.750, 0.762], [0.500, 0.000, 0.500], [0.500, 0.500, 0.500], [0.687, 0.250, 0.238], [0.813, 0.750, 0.738], [0.135, 0.250, 0.545], [0.365, 0.750, 0.045], [0.635, 0.250, 0.955], [0.865, 0.750, 0.455], [0.061, 0.553, 0.781], [0.061, 0.947, 0.781], [0.168, 0.250, 0.011], [0.332, 0.750, 0.511], [0.439, 0.053, 0.281], [0.439, 0.447, 0.281], [0.561, 0.553, 0.719], [0.561, 0.947, 0.719], [0.668, 0.250, 0.489], [0.832, 0.750, 0.989], [0.939, 0.053, 0.219], [0.939, 0.447, 0.219]]
}